HfScGa2 | PBE | relaxed

Calculated values
- formation energy (meV/atom) = -408
- E (eV per atom) = -5.993
- DOS at the Fermi energy (states/eV per cell) = 4.85
- polymorph energy (0 for the lowest one) (meV per atom) = 134.3

a = 4.7381 Å, b = 4.7381 Å, c = 4.7381 Å
α = 60.00°, β = 60.00°, γ = 60.00°
Sites, in units of the cell vectors:
Ga 0.2500 0.2500 0.2500
Ga 0.7500 0.7500 0.7500
Sc 0.0000 0.0000 0.0000
Hf 0.5000 0.5000 0.5000



HfScGa6 | PBE | relaxed

Calculated values
- formation energy (meV/atom) = -433
- E (eV per atom) = -4.739
- DOS at the Fermi energy (states/eV per cell) = 4.44

a = 4.0972 Å, b = 4.0972 Å, c = 8.2762 Å
α = 90.00°, β = 90.00°, γ = 90.00°
Sites, in units of the cell vectors:
Ga 0.5000 0.5000 0.5000
Ga 0.5000 0.0000 0.7506
Ga 0.5000 0.0000 0.2494
Ga 0.0000 0.5000 0.2494
Ga 0.5000 0.5000 0.0000
Ga 0.0000 0.5000 0.7506
Sc 0.0000 0.0000 0.0000
Hf 0.0000 0.0000 0.5000



HfSc2Ga | PBE | relaxed

Calculated values
- formation energy (meV/atom) = 122
- E (eV per atom) = -6.289
- DOS at the Fermi energy (states/eV per cell) = 5.39

a = 7.8304 Å, b = 7.8304 Å, c = 6.2466 Å
α = 51.19°, β = 51.19°, γ = 90.00°
Sites, in units of the cell vectors:
Sc 0.1587 0.6250 0.2500
Sc 0.8750 0.8413 0.7500
Sc 0.3750 0.4087 0.7500
Sc 0.5913 0.1250 0.2500
Ga 0.5000 0.5000 0.0000
Ga 0.2500 0.7500 0.5000
Hf 0.7500 0.2500 0.5000
Hf 0.0000 0.0000 0.0000



> Number 1 is which compound?

HfScGa2